Record 1
First-principles (PBE) data for a relaxed FeRu3Rh4 crystal, as listed in Alexandria.

* E_tot: -7.81 eV/atom

Cell: 22.2243 2.6914 4.1348 Å, 90.00 99.92 90.00°
Space group C2/m (No. 12)
Symmetry-distinct sites (fractional):
Fe (0.0000, 0.0000, 0.0000) (multiplicity 2)
Ru (0.0000, 0.5000, 0.5000) (multiplicity 2)
Ru (0.2165, 0.5000, 0.7183) (multiplicity 4)
Rh (0.1000, 0.0000, 0.6111) (multiplicity 4)
Rh (0.1658, 0.0000, 0.1714) (multiplicity 4)

***

Record 2
First-principles (PBE) data for a relaxed FeRu2Rh crystal, as listed in Alexandria.

* offset from the most stable computed form: 193.1 kJ/mol of formula units

Cell: 6.0076 6.0076 6.0076 Å, 90.00 90.00 90.00°
Space group Fm-3m (No. 225)
Symmetry-distinct sites (fractional):
Fe (0.0000, 0.0000, 0.0000) (multiplicity 4)
Ru (0.2500, 0.2500, 0.2500) (multiplicity 8)
Rh (0.0000, 0.0000, 0.5000) (multiplicity 4)

***

Record 3
First-principles (PBE) data for a relaxed FeRu2Rh crystal, as listed in Alexandria.

* offset from the most stable computed form: 409.4 kJ/mol of formula units

Cell: 5.3356 5.3356 10.6190 Å, 90.00 90.00 90.00°
Space group I-42d (No. 122)
Symmetry-distinct sites (fractional):
Fe (0.0000, 0.0000, 0.0000) (multiplicity 4)
Ru (0.2220, 0.2500, 0.1250) (multiplicity 8)
Rh (0.0000, 0.0000, 0.5000) (multiplicity 4)

***

Record 4
First-principles (PBE) data for a relaxed Fe2RuRh5 crystal, as listed in Alexandria.

* E_tot: -7.87 eV/atom

Cell: 5.3654 10.7385 3.8122 Å, 90.00 90.00 90.00°
Space group Pbam (No. 55)
Symmetry-distinct sites (fractional):
Fe (0.2494, 0.1243, 0.0000) (multiplicity 4)
Ru (0.0000, 0.0000, 0.5000) (multiplicity 2)
Rh (0.0000, 0.5000, 0.5000) (multiplicity 2)
Rh (0.0036, 0.2484, 0.5000) (multiplicity 4)
Rh (0.2457, 0.8770, 0.0000) (multiplicity 4)

***

Record 5
First-principles (PBE) data for a relaxed FeRu2Rh4 crystal, as listed in Alexandria.

* offset from the most stable computed form: 45.2 kJ/mol of formula units

Cell: 6.9424 7.6680 3.8953 Å, 90.00 90.00 90.00°
Space group Cmmm (No. 65)
Symmetry-distinct sites (fractional):
Fe (0.0000, 0.0000, 0.0000) (multiplicity 2)
Ru (0.1844, 0.5000, 0.5000) (multiplicity 4)
Rh (0.0000, 0.2038, 0.5000) (multiplicity 4)
Rh (0.2500, 0.2500, 0.0000) (multiplicity 4)

***

Record 6
First-principles (PBE) data for a relaxed FeRu2Rh crystal, as listed in Alexandria.

* offset from the most stable computed form: 19.0 kJ/mol of formula units

Cell: 2.6833 2.6833 7.4394 Å, 90.00 90.00 90.00°
Space group P4/mmm (No. 123)
Symmetry-distinct sites (fractional):
Fe (0.0000, 0.0000, 0.0000) (multiplicity 1)
Ru (0.5000, 0.5000, 0.2375) (multiplicity 2)
Rh (0.0000, 0.0000, 0.5000) (multiplicity 1)

***

Record 7
First-principles (PBE) data for a relaxed FeRu2Rh crystal, as listed in Alexandria.

* offset from the most stable computed form: 116.0 kJ/mol of formula units

Cell: 6.0831 6.0831 6.0831 Å, 90.00 90.00 90.00°
Space group F-43m (No. 216)
Symmetry-distinct sites (fractional):
Fe (0.0000, 0.0000, 0.0000) (multiplicity 4)
Ru (0.0000, 0.0000, 0.5000) (multiplicity 4)
Ru (0.2500, 0.2500, 0.2500) (multiplicity 4)
Rh (0.2500, 0.2500, 0.7500) (multiplicity 4)

***

Record 8
First-principles (PBE) data for a relaxed FeRu2Rh crystal, as listed in Alexandria.

* offset from the most stable computed form: 13.3 kJ/mol of formula units

Cell: 4.6245 2.6861 4.6256 Å, 90.00 109.26 90.00°
Space group P2/m (No. 10)
Symmetry-distinct sites (fractional):
Fe (0.0000, 0.0000, 0.0000) (multiplicity 1)
Ru (0.5000, 0.0000, 0.5000) (multiplicity 1)
Ru (0.5000, 0.5000, 0.0000) (multiplicity 1)
Rh (0.0000, 0.5000, 0.5000) (multiplicity 1)

***

Record 9
First-principles (PBE) data for a relaxed FeRu2Rh crystal, as listed in Alexandria.

* offset from the most stable computed form: 95.5 kJ/mol of formula units

Cell: 2.7588 4.5466 8.9152 Å, 90.00 90.00 90.00°
Space group Cmm2 (No. 35)
Symmetry-distinct sites (fractional):
Fe (0.0000, 0.0000, 0.0000) (multiplicity 2)
Ru (0.0000, 0.0000, 0.4958) (multiplicity 2)
Ru (0.0000, 0.5000, 0.2422) (multiplicity 2)
Rh (0.0000, 0.5000, 0.7586) (multiplicity 2)

***

Record 10
First-principles (PBE) data for a relaxed FeRu2Rh crystal, as listed in Alexandria.

* offset from the most stable computed form: 13.6 kJ/mol of formula units

Cell: 8.8522 2.6871 4.6290 Å, 90.00 100.74 90.00°
Space group C2/m (No. 12)
Symmetry-distinct sites (fractional):
Fe (0.0000, 0.0000, 0.0000) (multiplicity 2)
Ru (0.2470, 0.5000, 0.2435) (multiplicity 4)
Rh (0.0000, 0.5000, 0.5000) (multiplicity 2)

***

Record 11
First-principles (PBE) data for a relaxed FeRu2Rh crystal, as listed in Alexandria.

* offset from the most stable computed form: 6.8 kJ/mol of formula units

Cell: 3.7681 3.7681 7.6134 Å, 90.00 90.00 90.00°
Space group I-4m2 (No. 119)
Symmetry-distinct sites (fractional):
Fe (0.0000, 0.0000, 0.0000) (multiplicity 2)
Ru (0.0000, 0.0000, 0.5000) (multiplicity 2)
Ru (0.0000, 0.5000, 0.2500) (multiplicity 2)
Rh (0.0000, 0.5000, 0.7500) (multiplicity 2)

***

Record 12
First-principles (PBE) data for a relaxed FeRu2Rh crystal, as listed in Alexandria.

* offset from the most stable computed form: 18.4 kJ/mol of formula units

Cell: 2.6760 3.7668 5.3414 Å, 90.00 90.00 90.00°
Space group Pmmm (No. 47)
Symmetry-distinct sites (fractional):
Fe (0.0000, 0.0000, 0.0000) (multiplicity 1)
Ru (0.5000, 0.5000, 0.2373) (multiplicity 2)
Rh (0.0000, 0.0000, 0.5000) (multiplicity 1)